14
Lattice="5.9419 -3.1723 0.0000 5.9419 3.1723 0.0000 -1.5324 0.0000 6.5988" Properties=species:S:1:pos:R:3 comment="DyVBrO4, optimized geometry, DFT PBE+U" magnetic_moment_mub_per_fu=0.00 e_tot_ev_per_fu=-49.16 pbc="T T T"
Dy 1.9236 0.0000 2.2528
Dy 8.4278 0.0000 4.3460
V 0.4019 0.0000 5.0126
V 9.9496 0.0000 1.5862
Br 4.3773 0.0000 5.4495
Br 5.9742 0.0000 1.1493
O -0.2372 0.0000 1.7765
O 3.2467 1.8256 2.4803
O 2.3420 0.0000 0.0723
O 7.1048 1.8256 4.1185
O 3.2467 -1.8256 2.4803
O 8.0095 0.0000 6.5265
O 7.1048 -1.8256 4.1185
O 10.5887 0.0000 4.8224